1.
Computed, not measured: an optimized crystal structure of Y2CuAg at the PBE level of DFT.

```
Y2CuAg
1.0
3.6105 0.0000 0.0000
0.0000 3.6105 0.0000
0.0000 0.0000 7.1581
Y Cu Ag
2 1 1
Direct
0.0000 0.0000 0.0000 Y
0.5000 0.5000 0.3495 Y
0.5000 0.5000 0.7771 Cu
0.0000 0.0000 0.5885 Ag
```

- uncorrected energy (eV per atom) = -5.11
- total magnetization (Bohr magnetons per cell) = 0.81
- space group = P4mm (99)
- Fermi-level density of states (states/eV/f.u.) = 2.68
- energy relative to the lowest polymorph listed for this composition (eV/f.u.) = 0.577
- DFT formation energy (meV per atom) = -140

2.
Computed, not measured: an optimized crystal structure of YCuAg2 at the PBE level of DFT.

```
YCuAg2
1.0
-2.0195 2.0195 10.2755
2.0195 -2.0195 10.2755
2.0195 2.0195 -10.2755
Y Cu Ag
2 2 4
Direct
0.0000 0.0000 0.0000 Y
0.7500 0.2500 0.5000 Y
0.2500 0.7500 0.5000 Cu
0.5000 0.5000 0.0000 Cu
0.1459 0.6250 0.0209 Ag
0.3750 0.3959 0.5209 Ag
0.6041 0.1250 0.9791 Ag
0.8750 0.8541 0.4791 Ag
```

- uncorrected energy (eV per atom) = -3.97
- total magnetization (Bohr magnetons per cell) = 0.00
- space group = I-42d (122)
- Fermi-level density of states (states/eV/f.u.) = 1.91
- energy relative to the lowest polymorph listed for this composition (eV/f.u.) = 1.363
- DFT formation energy (meV per atom) = 97

3.
Computed, not measured: an optimized crystal structure of Y2Cu3Ag at the PBE level of DFT.

```
Y2Cu3Ag
1.0
0.0000 4.3532 7.5937
3.5752 0.0000 7.5937
3.5752 4.3532 0.0000
Y Cu Ag
4 6 2
Direct
0.2473 0.7527 0.7527 Y
0.2500 0.2500 0.2500 Y
0.7500 0.7500 0.7500 Y
0.7527 0.2473 0.2473 Y
0.1622 0.1622 0.8378 Cu
0.1615 0.6770 0.3230 Cu
0.3230 0.8385 0.1615 Cu
0.6770 0.1615 0.8385 Cu
0.8385 0.3230 0.6770 Cu
0.8378 0.8378 0.1622 Cu
0.3335 0.3335 0.6665 Ag
0.6665 0.6665 0.3335 Ag
```

- uncorrected energy (eV per atom) = -4.91
- total magnetization (Bohr magnetons per cell) = 0.00
- space group = Fmmm (69)
- Fermi-level density of states (states/eV/f.u.) = 3.69
- DFT formation energy (meV per atom) = -231

Copy entry 1 word for word.
Computed, not measured: an optimized crystal structure of Y2CuAg at the PBE level of DFT.

```
Y2CuAg
1.0
3.6105 0.0000 0.0000
0.0000 3.6105 0.0000
0.0000 0.0000 7.1581
Y Cu Ag
2 1 1
Direct
0.0000 0.0000 0.0000 Y
0.5000 0.5000 0.3495 Y
0.5000 0.5000 0.7771 Cu
0.0000 0.0000 0.5885 Ag
```

- uncorrected energy (eV per atom) = -5.11
- total magnetization (Bohr magnetons per cell) = 0.81
- space group = P4mm (99)
- Fermi-level density of states (states/eV/f.u.) = 2.68
- energy relative to the lowest polymorph listed for this composition (eV/f.u.) = 0.577
- DFT formation energy (meV per atom) = -140

Question: Which of these has the highest total magnetization?
Answer: Y2CuAg

Question: Which value of uncorrected energy does entry 1 give?
Answer: -5.11 eV per atom